(1)
A plane-wave DFT calculation with PBE-GGA was carried out for an optimized crystal structure of YBeOF2.

The structure in CIF format:
```
data_YBeOF2
_cell_length_a 4.1407
_cell_length_b 4.1407
_cell_length_c 3.0927
_cell_angle_alpha 90.00
_cell_angle_beta 90.00
_cell_angle_gamma 90.00
_symmetry_space_group_name_H-M 'P 4/m m m'
_symmetry_Int_Tables_number 123
_symmetry_space_group_name_Hall '-P 4 2'
loop_
_atom_site_label
_atom_site_type_symbol
_atom_site_fract_x
_atom_site_fract_y
_atom_site_fract_z
Y1 Y 0.0000 0.0000 0.0000
Be1 Be 0.5000 0.5000 0.5000
O1 O 0.5000 0.5000 0.0000
F1 F 0.0000 0.5000 0.5000
```

Results
raw total energy	-32.168	eV for the cell shown
offset from the most stable computed form	0.000	eV per atom
calculated density	4.76	g cm⁻³
formation energy without anion corrections	-2.6554	eV/atom

---

(2)
A plane-wave DFT calculation with PBE-GGA was carried out for an optimized crystal structure of YBeOF2.

The structure in CIF format:
```
data_YBeOF2
_cell_length_a 4.3717
_cell_length_b 4.3717
_cell_length_c 4.4423
_cell_angle_alpha 90.00
_cell_angle_beta 90.00
_cell_angle_gamma 90.00
_symmetry_space_group_name_H-M 'P 4/m m m'
_symmetry_Int_Tables_number 123
_symmetry_space_group_name_Hall '-P 4 2'
loop_
_atom_site_label
_atom_site_type_symbol
_atom_site_fract_x
_atom_site_fract_y
_atom_site_fract_z
Y1 Y 0.0000 0.0000 0.0000
Be1 Be 0.5000 0.5000 0.5000
O1 O 0.0000 0.0000 0.5000
F1 F 0.0000 0.5000 0.0000
```

Results
raw total energy	-29.148	eV for the cell shown
offset from the most stable computed form	0.604	eV per atom
calculated density	2.97	g cm⁻³
formation energy without anion corrections	-2.0513	eV/atom

---

(3)
A plane-wave DFT calculation with PBE-GGA was carried out for an optimized crystal structure of BeZnO2F.

The structure in CIF format:
```
data_BeZnO2F
_cell_length_a 3.4437
_cell_length_b 3.4437
_cell_length_c 3.6268
_cell_angle_alpha 90.00
_cell_angle_beta 90.00
_cell_angle_gamma 90.00
_symmetry_space_group_name_H-M 'P 4/m m m'
_symmetry_Int_Tables_number 123
_symmetry_space_group_name_Hall '-P 4 2'
loop_
_atom_site_label
_atom_site_type_symbol
_atom_site_fract_x
_atom_site_fract_y
_atom_site_fract_z
Be1 Be 0.0000 0.0000 0.0000
Zn1 Zn 0.5000 0.5000 0.5000
O1 O 0.0000 0.5000 0.0000
F1 F 0.0000 0.0000 0.5000
```

Results
raw total energy	-23.515	eV for the cell shown
calculated density	4.84	g cm⁻³
formation energy without anion corrections	-1.3454	eV/atom

---

(4)
A plane-wave DFT calculation with PBE-GGA was carried out for an optimized crystal structure of BeZnO2F.

The structure in CIF format:
```
data_BeZnO2F
_cell_length_a 3.8162
_cell_length_b 3.8162
_cell_length_c 3.8329
_cell_angle_alpha 90.00
_cell_angle_beta 90.00
_cell_angle_gamma 90.00
_symmetry_space_group_name_H-M 'P 4/m m m'
_symmetry_Int_Tables_number 123
_symmetry_space_group_name_Hall '-P 4 2'
loop_
_atom_site_label
_atom_site_type_symbol
_atom_site_fract_x
_atom_site_fract_y
_atom_site_fract_z
Be1 Be 0.0000 0.0000 0.0000
Zn1 Zn 0.5000 0.5000 0.5000
O1 O 0.0000 0.5000 0.5000
F1 F 0.5000 0.5000 0.0000
```

Results
raw total energy	-18.961	eV for the cell shown
calculated density	3.73	g cm⁻³
formation energy without anion corrections	-0.4347	eV/atom